[1]
Compound: Mg3NiI
Source: the Alexandria database
Functional: PBEsol
Structure: optimized geometry

For the calculated total energy, the calculation gives -1.43 eV per atom.

CIF file:
```
data_Mg3NiI
_chemical_formula_sum 'Mg3 Ni1 I1'
_cell_length_a 5.3929
_cell_length_b 5.3929
_cell_length_c 5.3929
_cell_angle_alpha 90.00
_cell_angle_beta 90.00
_cell_angle_gamma 90.00
_space_group_name_H-M_alt 'P m -3 m'
_space_group_IT_number 221
_space_group_name_Hall '-P 4 2 3'
loop_
_atom_site_label
_atom_site_fract_x
_atom_site_fract_y
_atom_site_fract_z
Mg1 0.0000 0.0000 0.5000
Ni1 0.5000 0.5000 0.5000
I1 0.0000 0.0000 0.0000
```

---

[2]
Compound: Li2Mg
Source: the Alexandria database
Functional: PBEsol
Structure: optimized geometry

Its energy relative to the elements is -0.01 eV per atom.

CIF file:
```
data_Li2Mg
_chemical_formula_sum 'Li6 Mg3'
_cell_length_a 8.4274
_cell_length_b 8.4274
_cell_length_c 2.9954
_cell_angle_alpha 90.00
_cell_angle_beta 90.00
_cell_angle_gamma 120.00
_space_group_name_H-M_alt 'P -6 2 m'
_space_group_IT_number 189
_space_group_name_Hall 'P -6 -2'
loop_
_atom_site_label
_atom_site_fract_x
_atom_site_fract_y
_atom_site_fract_z
Li1 0.0000 0.3567 0.0000
Li2 0.0000 0.6906 0.5000
Mg1 0.0000 0.0000 0.0000
Mg2 0.3333 0.6667 0.5000
```